Material: Ga2TcHPd
Method: DFT, PBE-GGA
State: relaxed

Computed properties:
Crystal system ... tetragonal
Total magnetization ... 0.0 μB/cell
VASP energy ... -25.48 eV/cell

a b c (Å): 4.270 4.270 3.420
angles (deg): 90.00 90.00 90.00
Space group P4/mmm (No. 123)
One atom of each set of equivalent atoms:
1 Ga 0.000 0.500 0.000 (multiplicity 2)
2 Tc 0.000 0.000 0.500 (multiplicity 1)
3 H 0.000 0.000 0.000 (multiplicity 1)
4 Pd 0.500 0.500 0.500 (multiplicity 1)